Version 1
# Ni2SnGe PBE relaxed
data_Ni2SnGe
_chemical_formula_sum 'Ni4 Sn2 Ge2'
_space_group_name_H-M_alt 'C 1 2 1'
_space_group_IT_number 5
_space_group_name_Hall 'C 2y'
_cell_length_a 3.812
_cell_length_b 6.634
_cell_length_c 5.034
_cell_angle_alpha 90.00
_cell_angle_beta 90.08
_cell_angle_gamma 90.00
loop_
_atom_site_label
_atom_site_fract_x
_atom_site_fract_y
_atom_site_fract_z
Ni1 0.000 0.000 0.237
Sn1 0.000 0.668 0.500
Ge1 0.000 0.332 0.000
# DOS(E_F)   0.4625 states/eV/atom

---

Version 2
# Ni2SnGe PBE relaxed
data_Ni2SnGe
_chemical_formula_sum 'Ni8 Sn4 Ge4'
_space_group_name_H-M_alt 'I -4 2 d'
_space_group_IT_number 122
_space_group_name_Hall 'I -4 2bw'
_cell_length_a 4.124
_cell_length_b 4.124
_cell_length_c 16.021
_cell_angle_alpha 90.00
_cell_angle_beta 90.00
_cell_angle_gamma 90.00
loop_
_atom_site_label
_atom_site_fract_x
_atom_site_fract_y
_atom_site_fract_z
Ni1 0.200 0.250 0.125
Sn1 0.000 0.000 0.500
Ge1 0.000 0.000 0.000
# DOS(E_F)   0.6661 states/eV/atom

---

Version 3
# Ni2SnGe PBE relaxed
data_Ni2SnGe
_chemical_formula_sum 'Ni8 Sn4 Ge4'
_space_group_name_H-M_alt 'F m -3 m'
_space_group_IT_number 225
_space_group_name_Hall '-F 4 2 3'
_cell_length_a 6.202
_cell_length_b 6.202
_cell_length_c 6.202
_cell_angle_alpha 90.00
_cell_angle_beta 90.00
_cell_angle_gamma 90.00
loop_
_atom_site_label
_atom_site_fract_x
_atom_site_fract_y
_atom_site_fract_z
Ni1 0.250 0.250 0.250
Sn1 0.000 0.000 0.000
Ge1 0.000 0.000 0.500
# DOS(E_F)   0.5715 states/eV/atom

---

Version 4
# Ni2SnGe PBE relaxed
data_Ni2SnGe
_chemical_formula_sum 'Ni8 Sn4 Ge4'
_space_group_name_H-M_alt 'P 1 21/c 1'
_space_group_IT_number 14
_space_group_name_Hall '-P 2ybc'
_cell_length_a 7.006
_cell_length_b 6.515
_cell_length_c 5.444
_cell_angle_alpha 90.00
_cell_angle_beta 90.11
_cell_angle_gamma 90.00
loop_
_atom_site_label
_atom_site_fract_x
_atom_site_fract_y
_atom_site_fract_z
Ni1 0.086 0.207 0.002
Ni2 0.332 0.727 0.493
Sn1 0.378 0.093 0.271
Ge1 0.122 0.550 0.201
# DOS(E_F)   0.4755 states/eV/atom

---

Looking at the structures above, version 4 is most stable, and the difference to the next one is 21 meV per atom.